# 1
## Ta5Nb3H12 (GGA-PBE)

Data for crystalline Ta5Nb3H12 at its relaxed geometry.

## Properties
V = 8.9 Å³/atom
density = 11.14 Mg/m³
D(E_F) = 30.0 states/eV per cell
total energy = -528.572 eV/cell

abc: 9.7483 9.7483 9.7483
angles: 109.47 109.47 109.47
Closest atoms and distances in Å follow each position.
Atoms (fractional coordinates):
H1 0.7256 0.5788 0.1583  2 Ta 1.91-1.92, 2 Nb 2.01-2.02, 1 H 2.02
Nb1 0.3750 0.7500 0.6250  8 H 2.01-2.02
H2 0.2256 0.5673 0.6468  2 Ta 1.91-1.92, 2 Nb 2.01-2.02, 1 H 2.02
Ta1 0.5000 0.0000 0.5000  6 H 1.91
Nb2 0.1250 0.2500 0.8750  8 H 2.01-2.02
Nb3 0.7500 0.3750 0.1250  8 H 2.01-2.02
Ta2 0.2500 0.3750 0.6250  4 H 1.92
H3 0.2744 0.8532 0.9327  2 Ta 1.91-1.92, 2 Nb 2.01-2.02, 1 H 2.02
H4 0.3532 0.9327 0.7744  2 Ta 1.91-1.92, 2 Nb 2.01-2.02, 1 H 2.02
Ta3 0.5000 0.5000 0.5000  6 H 1.91
Nb4 0.1250 0.8750 0.7500  8 H 2.01-2.02
Ta4 0.2500 0.8750 0.1250  4 H 1.92
Ta5 0.8750 0.2500 0.6250  4 H 1.92
H5 0.1583 0.0788 0.7256  2 Ta 1.91-1.92, 2 Nb 2.01-2.02, 1 H 2.02
H6 0.0795 0.1583 0.4327  2 Ta 1.91-1.92, 2 Nb 2.01-2.02, 1 H 2.02
H7 0.9212 0.0795 0.6468  2 Ta 1.91-1.92, 2 Nb 2.01-2.02, 1 H 2.02
Nb5 0.8750 0.7500 0.1250  8 H 2.01-2.02
H8 0.5795 0.6468 0.4212  2 Ta 1.91-1.92, 2 Nb 2.01-2.02, 1 H 2.02
H9 0.7744 0.3417 0.9212  2 Ta 1.91-1.92, 2 Nb 2.01-2.02, 1 H 2.02
H10 0.4212 0.1468 0.5795  2 Ta 1.91-1.92, 2 Nb 2.01-2.02, 1 H 2.02
H11 0.5795 0.9327 0.6583  2 Ta 1.91-1.92, 2 Nb 2.01-2.02, 1 H 2.02
H12 0.9327 0.5795 0.1583  2 Ta 1.91-1.92, 2 Nb 2.01-2.02, 1 H 2.02
H13 0.0673 0.4205 0.8417  2 Ta 1.91-1.92, 2 Nb 2.01-2.02, 1 H 2.02
Ta6 0.3750 0.2500 0.1250  4 H 1.92
Ta7 0.0000 0.0000 0.5000  6 H 1.91
Nb6 0.8750 0.1250 0.2500  8 H 2.01-2.02
Nb7 0.3750 0.6250 0.2500  8 H 2.01-2.02
Ta8 0.5000 0.5000 0.0000  6 H 1.91
H14 0.3417 0.5673 0.4205  2 Ta 1.91-1.92, 2 Nb 2.01-2.02, 1 H 2.02
H15 0.4205 0.0673 0.3417  2 Ta 1.91-1.92, 2 Nb 2.01-2.02, 1 H 2.02
H16 0.4205 0.3532 0.5788  2 Ta 1.91-1.92, 2 Nb 2.01-2.02, 1 H 2.02
H17 0.6583 0.4327 0.5795  2 Ta 1.91-1.92, 2 Nb 2.01-2.02, 1 H 2.02
H18 0.5673 0.3417 0.9205  2 Ta 1.91-1.92, 2 Nb 2.01-2.02, 1 H 2.02
Ta9 0.7500 0.1250 0.8750  4 H 1.92
H19 0.1468 0.4212 0.0795  2 Ta 1.91-1.92, 2 Nb 2.01-2.02, 1 H 2.02
H20 0.0788 0.1583 0.2256  2 Ta 1.91-1.92, 2 Nb 2.01-2.02, 1 H 2.02
H21 0.2256 0.6583 0.0788  2 Ta 1.91-1.92, 2 Nb 2.01-2.02, 1 H 2.02
H22 0.6468 0.0673 0.2256  2 Ta 1.91-1.92, 2 Nb 2.01-2.02, 1 H 2.02
H23 0.4327 0.7744 0.8532  2 Ta 1.91-1.92, 2 Nb 2.01-2.02, 1 H 2.02
Nb8 0.6250 0.2500 0.3750  8 H 2.01-2.02
H24 0.6583 0.2256 0.5788  2 Ta 1.91-1.92, 2 Nb 2.01-2.02, 1 H 2.02
H25 0.5788 0.7256 0.6583  2 Ta 1.91-1.92, 2 Nb 2.01-2.02, 1 H 2.02
H26 0.1468 0.7256 0.5673  2 Ta 1.91-1.92, 2 Nb 2.01-2.02, 1 H 2.02
H27 0.0673 0.6468 0.7256  2 Ta 1.91-1.92, 2 Nb 2.01-2.02, 1 H 2.02
H28 0.8417 0.9205 0.0673  2 Ta 1.91-1.92, 2 Nb 2.01-2.02, 1 H 2.02
H29 0.7256 0.1468 0.0673  2 Ta 1.91-1.92, 2 Nb 2.01-2.02, 1 H 2.02
H30 0.3532 0.4205 0.0788  2 Ta 1.91-1.92, 2 Nb 2.01-2.02, 1 H 2.02
Ta10 0.7500 0.6250 0.3750  4 H 1.92
H31 0.0795 0.9212 0.1468  2 Ta 1.91-1.92, 2 Nb 2.01-2.02, 1 H 2.02
Ta11 0.5000 0.0000 0.0000  6 H 1.91
H32 0.1583 0.0795 0.9327  2 Ta 1.91-1.92, 2 Nb 2.01-2.02, 1 H 2.02
H33 0.9205 0.8417 0.5673  2 Ta 1.91-1.92, 2 Nb 2.01-2.02, 1 H 2.02
Nb9 0.7500 0.8750 0.6250  8 H 2.01-2.02
Ta12 0.0000 0.0000 0.0000  6 H 1.91
H34 0.9205 0.0788 0.8532  2 Ta 1.91-1.92, 2 Nb 2.01-2.02, 1 H 2.02
H35 0.8417 0.9212 0.2744  2 Ta 1.91-1.92, 2 Nb 2.01-2.02, 1 H 2.02
H36 0.7744 0.4327 0.3532  2 Ta 1.91-1.92, 2 Nb 2.01-2.02, 1 H 2.02
Ta13 0.0000 0.5000 0.0000  6 H 1.91
H37 0.2744 0.4212 0.8417  2 Ta 1.91-1.92, 2 Nb 2.01-2.02, 1 H 2.02
H38 0.6468 0.5795 0.9212  2 Ta 1.91-1.92, 2 Nb 2.01-2.02, 1 H 2.02
H39 0.9212 0.8417 0.7744  2 Ta 1.91-1.92, 2 Nb 2.01-2.02, 1 H 2.02
Ta14 0.6250 0.7500 0.8750  4 H 1.92
H40 0.0788 0.9205 0.3532  2 Ta 1.91-1.92, 2 Nb 2.01-2.02, 1 H 2.02
Ta15 0.6250 0.8750 0.2500  4 H 1.92
H41 0.8532 0.5788 0.9205  2 Ta 1.91-1.92, 2 Nb 2.01-2.02, 1 H 2.02
Nb10 0.6250 0.3750 0.7500  8 H 2.01-2.02
Nb11 0.2500 0.1250 0.3750  8 H 2.01-2.02
H42 0.5788 0.8532 0.4205  2 Ta 1.91-1.92, 2 Nb 2.01-2.02, 1 H 2.02
H43 0.8532 0.2744 0.4327  2 Ta 1.91-1.92, 2 Nb 2.01-2.02, 1 H 2.02
Ta16 0.8750 0.6250 0.7500  4 H 1.92
H44 0.4212 0.2744 0.3417  2 Ta 1.91-1.92, 2 Nb 2.01-2.02, 1 H 2.02
Ta17 0.1250 0.7500 0.3750  4 H 1.92
Nb12 0.2500 0.6250 0.8750  8 H 2.01-2.02
Ta18 0.3750 0.1250 0.7500  4 H 1.92
H45 0.3417 0.7744 0.4212  2 Ta 1.91-1.92, 2 Nb 2.01-2.02, 1 H 2.02
H46 0.9327 0.3532 0.2744  2 Ta 1.91-1.92, 2 Nb 2.01-2.02, 1 H 2.02
H47 0.5673 0.2256 0.1468  2 Ta 1.91-1.92, 2 Nb 2.01-2.02, 1 H 2.02
H48 0.4327 0.6583 0.0795  2 Ta 1.91-1.92, 2 Nb 2.01-2.02, 1 H 2.02
Ta19 0.0000 0.5000 0.5000  6 H 1.91
Ta20 0.1250 0.3750 0.2500  4 H 1.92



# 2
## TaNb2H4 (GGA-PBE)

Data for crystalline TaNb2H4 at its relaxed geometry.

## Properties
V = 9.5 Å³/atom
density = 9.24 Mg/m³
D(E_F) = 3.5 states/eV per cell
E above lowest polymorph = 0.225 eV per atom

abc: 3.4848 3.4848 6.0157
angles: 73.16 73.16 90.00
Closest atoms and distances in Å follow each position.
Atoms (fractional coordinates):
Ta1 0.0000 0.0000 0.0000  6 H 1.74-1.86
H1 0.1692 0.1692 0.6617  1 Ta 1.86, 1 Nb 1.87
Nb1 0.6606 0.6606 0.6787  1 H 1.87
H2 0.8308 0.8308 0.3383  1 Ta 1.86, 1 Nb 1.87
H3 0.0000 0.5000 0.0000  2 Ta 1.74
Nb2 0.3394 0.3394 0.3213  1 H 1.87
H4 0.5000 0.0000 0.0000  2 Ta 1.74



# 3
## Ta2NbH (GGA-PBE)

Data for crystalline Ta2NbH at its relaxed geometry.

## Properties
V = 14.7 Å³/atom
density = 12.90 Mg/m³
D(E_F) = 3.4 states/eV per cell
E above lowest polymorph = 0.478 eV per atom

abc: 2.7802 2.7802 7.5909
angles: 90.00 90.00 90.00
Closest atoms and distances in Å follow each position.
Atoms (fractional coordinates):
H1 0.5000 0.5000 0.0000  8 Ta 2.41
Ta1 0.0000 0.0000 0.8160  4 H 2.41
Nb1 0.5000 0.5000 0.5000  4 Nb 2.78, 8 Ta 3.10
Ta2 0.0000 0.0000 0.1840  4 H 2.41



# 4
## Ta4NbH4 (GGA-PBE)

Data for crystalline Ta4NbH4 at its relaxed geometry.

## Properties
V = 12.1 Å³/atom
density = 12.49 Mg/m³
D(E_F) = 4.3 states/eV per cell
total energy = -70.207 eV/cell

abc: 5.5726 5.5726 5.1995
angles: 89.82 124.16 118.63
Closest atoms and distances in Å follow each position.
Atoms (fractional coordinates):
H1 0.6718 0.6459 0.7069  3 Ta 1.92-2.00, 1 Nb 1.98
Ta1 0.9690 0.5010 0.9710  3 H 1.96-2.00
H2 0.4732 0.8259 0.2991  3 Ta 1.96-1.99
Ta2 0.4699 0.0020 0.9710  3 H 1.96-2.00
H3 0.0610 0.0351 0.7069  3 Ta 1.92-2.00, 1 Nb 1.98
Ta3 0.2393 0.3992 0.6385  3 H 1.92
H4 0.8632 0.4156 0.2789  4 Ta 1.92-1.98
Nb1 0.0338 0.0366 0.0704  2 H 1.98
Ta4 0.7186 0.6387 0.3574  4 H 1.92-1.99



# 5
## Ta3NbH2 (GGA-PBE)

Data for crystalline Ta3NbH2 at its relaxed geometry.

## Properties
V = 13.2 Å³/atom
density = 13.41 Mg/m³
D(E_F) = 5.2 states/eV per cell
total energy = -104.257 eV/cell

abc: 2.8028 7.4653 7.7421
angles: 97.38 100.43 90.00
Closest atoms and distances in Å follow each position.
Atoms (fractional coordinates):
Ta1 0.0949 0.5707 0.1897  3 H 2.00-2.08
Nb1 0.6598 0.9389 0.3196  2 H 2.09
Ta2 0.4638 0.8024 0.9276  3 H 2.03-2.10
H1 0.0673 0.8256 0.1346  3 Ta 2.00-2.10, 2 Nb 2.09
H2 0.6402 0.3980 0.2804  5 Ta 2.03-2.08
Nb2 0.3402 0.0611 0.6804  2 H 2.09
H3 0.3598 0.6020 0.7196  5 Ta 2.03-2.08
Ta3 0.2225 0.3079 0.4451  2 H 2.05
Ta4 0.7775 0.6921 0.5549  2 H 2.05
Ta5 0.5362 0.1976 0.0724  3 H 2.03-2.10
H4 0.9327 0.1744 0.8654  3 Ta 2.00-2.10, 2 Nb 2.09
Ta6 0.9051 0.4293 0.8103  3 H 2.00-2.08



# 6
## TaNb2H2 (GGA-PBE)

Data for crystalline TaNb2H2 at its relaxed geometry.

## Properties
V = 12.0 Å³/atom
density = 10.18 Mg/m³
D(E_F) = 1.8 states/eV per cell
E above lowest polymorph = 0.000 eV per atom

abc: 3.3996 3.3996 5.7352
angles: 72.76 72.76 90.00
Closest atoms and distances in Å follow each position.
Atoms (fractional coordinates):
Nb1 0.6555 0.6555 0.6890  4 H 1.96
Ta1 0.0000 0.0000 0.0000  8 Nb 2.90, 8 H 3.11
Nb2 0.3445 0.3445 0.3110  4 H 1.96
H1 0.7500 0.2500 0.5000  4 Nb 1.96
H2 0.2500 0.7500 0.5000  4 Nb 1.96



# 7
## TaNb2H (GGA-PBE)

Data for crystalline TaNb2H at its relaxed geometry.

## Properties
V = 16.0 Å³/atom
density = 9.53 Mg/m³
D(E_F) = 3.5 states/eV per cell
E above lowest polymorph = 0.552 eV per atom

abc: 4.4924 4.4924 4.4924
angles: 60.00 60.00 60.00
Closest atoms and distances in Å follow each position.
Atoms (fractional coordinates):
Nb1 0.2500 0.2500 0.2500  4 Ta 2.75, 4 H 2.75
Ta1 0.5000 0.5000 0.5000  8 Nb 2.75
H1 0.0000 0.0000 0.0000  8 Nb 2.75
Nb2 0.7500 0.7500 0.7500  4 Ta 2.75, 4 H 2.75



# 8
## Ta2NbTcH (GGA-PBE)

Data for crystalline Ta2NbTcH at its relaxed geometry.

## Properties
V = 14.3 Å³/atom
density = 12.86 Mg/m³
D(E_F) = 2.0 states/eV per cell
E above lowest polymorph = 0.005 eV per atom

abc: 4.5387 4.5387 3.4721
angles: 90.00 90.00 90.00
Closest atoms and distances in Å follow each position.
Atoms (fractional coordinates):
Tc1 0.5000 0.5000 0.5000  8 Ta 2.86
Nb1 0.0000 0.0000 0.5000  2 H 1.74
Ta1 0.0000 0.5000 0.0000  2 H 2.27
Ta2 0.5000 0.0000 0.0000  2 H 2.27
H1 0.0000 0.0000 0.0000  2 Nb 1.74